Record 1
# La8Nd2Dy3, optimized geometry, DFT PBE
data_La8Nd2Dy3
_chemical_formula_sum 'La16 Nd4 Dy6'
_space_group_name_H-M_alt 'C 1 2/m 1'
_space_group_IT_number 12
_cell_length_a 13.707
_cell_length_b 11.913
_cell_length_c 6.211
_cell_angle_alpha 90.00
_cell_angle_beta 113.58
_cell_angle_gamma 90.00
loop_
_space_group_symop_operation_xyz
'x,y,z'
'-x,-y,-z'
'-x,y,-z'
'x,-y,z'
'x+1/2,y+1/2,z'
'-x+1/2,-y+1/2,-z'
'-x+1/2,y+1/2,-z'
'x+1/2,-y+1/2,z'
loop_
_atom_site_label
_atom_site_fract_x
_atom_site_fract_y
_atom_site_fract_z
_atom_site_occupancy
La1 0.083 0.000 0.244 1
La2 0.138 0.500 0.613 1
La3 0.163 0.263 0.155 1
Nd1 0.188 0.000 0.832 1
Dy1 0.000 0.233 0.500 1
Dy2 0.000 0.500 0.000 1
# final energy = -4.69 eV per atom
# density of states at the Fermi level = 41.6 states/eV per cell
# formation enthalpy at 0 K = 139 meV per atom

***

Record 2
# ScTlOsO2, optimized geometry, DFT PBE
data_ScTlOsO2
_chemical_formula_sum 'Sc1 Tl1 Os1 O2'
_space_group_name_H-M_alt 'P 4/m m m'
_space_group_IT_number 123
_space_group_name_Hall '-P 4 2'
_cell_length_a 3.939
_cell_length_b 3.939
_cell_length_c 7.325
_cell_angle_alpha 90.00
_cell_angle_beta 90.00
_cell_angle_gamma 90.00
loop_
_atom_site_label
_atom_site_fract_x
_atom_site_fract_y
_atom_site_fract_z
_atom_site_occupancy
Sc1 0.000 0.000 0.000 1
Tl1 0.000 0.000 0.500 1
Os1 0.500 0.500 0.500 1
O1 0.000 0.500 0.000 1
# E_form (uncorrected) = -0.23 eV/atom
# final energy = -6.20 eV per atom
# density of states at the Fermi level = 4.8 states/eV per cell

***

Record 3
# La2PmRh, optimized geometry, DFT PBE
data_La2PmRh
_chemical_formula_sum 'La8 Pm4 Rh4'
_space_group_name_H-M_alt 'C m c m'
_space_group_IT_number 63
_space_group_name_Hall '-C 2c 2'
_cell_length_a 3.925
_cell_length_b 12.131
_cell_length_c 10.163
_cell_angle_alpha 90.00
_cell_angle_beta 90.00
_cell_angle_gamma 90.00
loop_
_atom_site_label
_atom_site_fract_x
_atom_site_fract_y
_atom_site_fract_z
_atom_site_occupancy
La1 0.000 0.140 0.067 1
Pm1 0.000 0.414 0.250 1
Rh1 0.000 0.276 0.750 1
# final energy = -5.91 eV per atom
# density of states at the Fermi level = 22.0 states/eV per cell
# formation enthalpy at 0 K = -416 meV per atom